1.
Compound: Cr3CuP4O16
Source: the Alexandria database
Functional: SCAN
Structure: single point on PBEsol structure

Structure (POSCAR):
```
Cr3CuP4O16
1.0
4.697 0.000 0.000
0.000 5.652 0.000
-0.157 0.000 9.700
Cr Cu P O
3 1 4 16
Direct
0.000 0.000 0.000
0.098 0.500 0.546
0.601 0.000 0.506
0.476 0.500 0.053
0.165 0.000 0.687
0.435 0.000 0.182
0.652 0.500 0.365
0.966 0.500 0.865
0.241 0.000 0.839
0.267 0.206 0.108
0.267 0.794 0.108
0.288 0.500 0.881
0.316 0.211 0.607
0.316 0.789 0.607
0.334 0.500 0.390
0.386 0.000 0.337
0.716 0.500 0.214
0.752 0.000 0.153
0.811 0.290 0.445
0.811 0.710 0.445
0.824 0.282 0.937
0.824 0.718 0.937
0.844 0.000 0.664
0.886 0.500 0.711
```

Properties
Its formation energy (no corrections) is -2.292 eV/atom.


2.
Compound: PIr3Os
Source: the Alexandria database
Functional: SCAN
Structure: single point on PBEsol structure

Structure (POSCAR):
```
PIr3Os
1.0
4.667 0.000 0.000
0.000 4.667 0.000
0.000 0.000 4.667
P Ir Os
1 3 1
Direct
0.000 0.000 0.000
0.000 0.500 0.500
0.500 0.000 0.500
0.500 0.500 0.000
0.500 0.500 0.500
```

Properties
The energy relative to the elements comes out at 2.2315 eV per atom.


3.
Compound: KNiSb2
Source: the Alexandria database
Functional: SCAN
Structure: single point on PBEsol structure

Structure (POSCAR):
```
KNiSb2
1.0
-1.561 1.846 8.555
1.561 -1.846 8.555
1.561 1.846 -8.555
K Ni Sb
1 1 2
Direct
0.000 0.000 0.000
0.231 0.731 0.500
0.349 0.349 0.000
0.670 0.170 0.500
```

Properties
Its formation energy (no corrections) is -0.145 eV/atom.


4.
Compound: Li2CuAsO4
Source: the Alexandria database
Functional: SCAN
Structure: single point on PBEsol structure

Structure (POSCAR):
```
Li2CuAsO4
1.0
5.830 0.000 0.000
0.000 5.037 0.000
-0.164 0.000 6.337
Li Cu As O
4 2 2 8
Direct
0.053 0.000 0.323
0.198 0.495 0.035
0.802 0.995 0.965
0.947 0.500 0.677
0.371 0.599 0.498
0.629 0.099 0.502
0.264 0.010 0.792
0.736 0.510 0.208
0.101 0.159 0.599
0.149 0.100 0.026
0.253 0.666 0.763
0.450 0.600 0.219
0.550 0.100 0.781
0.747 0.166 0.237
0.851 0.600 0.974
0.899 0.659 0.401
```

Properties
Its formation energy (no corrections) is -1.594 eV/atom.


5.
Compound: BaBrCl2
Source: the Alexandria database
Functional: SCAN
Structure: single point on PBEsol structure

Structure (POSCAR):
```
BaBrCl2
1.0
-2.499 2.499 4.262
2.499 -2.499 4.262
2.499 2.499 -4.262
Ba Br Cl
1 1 2
Direct
0.000 0.000 0.000
0.500 0.500 0.000
0.250 0.750 0.500
0.750 0.250 0.500
```

Properties
Its formation energy (no corrections) is -1.830 eV/atom.


6.
Compound: Dy2Ti12Cu9O36
Source: the Alexandria database
Functional: SCAN
Structure: single point on PBEsol structure

Structure (POSCAR):
```
Dy2Ti12Cu9O36
1.0
10.387 0.000 0.000
-5.193 8.995 0.000
0.000 0.000 6.378
Dy Ti Cu O
2 12 9 36
Direct
0.333 0.667 0.329
0.667 0.333 0.671
0.000 0.000 0.500
0.000 0.500 0.500
0.158 0.839 0.162
0.161 0.319 0.162
0.319 0.158 0.838
0.333 0.667 0.840
0.500 0.000 0.500
0.500 0.500 0.500
0.667 0.333 0.160
0.681 0.842 0.162
0.839 0.681 0.838
0.842 0.161 0.838
0.000 0.500 0.000
0.169 0.337 0.660
0.169 0.831 0.660
0.337 0.169 0.340
0.500 0.000 0.000
0.500 0.500 0.000
0.663 0.831 0.660
0.831 0.169 0.340
0.831 0.663 0.340
0.015 0.850 0.331
0.046 0.775 0.908
0.076 0.625 0.249
0.120 0.412 0.412
0.150 0.165 0.331
0.165 0.015 0.669
0.177 0.650 0.645
0.192 0.510 0.018
0.225 0.271 0.908
0.271 0.046 0.092
0.293 0.880 0.412
0.317 0.808 0.018
0.350 0.527 0.645
0.375 0.451 0.249
0.412 0.293 0.588
0.451 0.076 0.751
0.473 0.823 0.645
0.490 0.683 0.018
0.510 0.317 0.982
0.527 0.177 0.355
0.549 0.924 0.249
0.588 0.707 0.412
0.625 0.549 0.751
0.650 0.473 0.355
0.683 0.192 0.982
0.707 0.120 0.588
0.729 0.954 0.908
0.775 0.729 0.092
0.808 0.490 0.982
0.823 0.350 0.355
0.835 0.985 0.331
0.850 0.835 0.669
0.880 0.588 0.588
0.924 0.375 0.751
0.954 0.225 0.092
0.985 0.150 0.669
```

Properties
Its formation energy (no corrections) is -2.614 eV/atom.


7.
Compound: Na2AlGa2
Source: the Alexandria database
Functional: SCAN
Structure: single point on PBEsol structure

Structure (POSCAR):
```
Na2AlGa2
1.0
6.683 0.000 0.000
0.000 6.683 0.000
0.000 0.000 4.925
Na Al Ga
4 2 4
Direct
0.175 0.325 0.000
0.325 0.825 0.000
0.675 0.175 0.000
0.825 0.675 0.000
0.000 0.000 0.500
0.500 0.500 0.500
0.132 0.632 0.500
0.368 0.132 0.500
0.632 0.868 0.500
0.868 0.368 0.500
```

Properties
The energy relative to the elements comes out at -0.0407 eV per atom.


8.
Compound: Fe3Co
Source: the Alexandria database
Functional: SCAN
Structure: single point on PBEsol structure

Structure (POSCAR):
```
Fe3Co
1.0
2.424 0.000 0.000
-1.212 2.099 0.000
0.000 0.000 7.684
Fe Co
3 1
Direct
0.000 0.000 0.000
0.667 0.333 0.246
0.667 0.333 0.754
0.000 0.000 0.500
```

Properties
The energy relative to the elements comes out at 0.3129 eV per atom.


9.
Compound: As2PIr
Source: the Alexandria database
Functional: SCAN
Structure: single point on PBEsol structure

Structure (POSCAR):
```
As2PIr
1.0
4.644 0.000 0.000
0.000 4.644 0.000
0.000 0.000 2.866
As P Ir
2 1 1
Direct
0.000 0.500 0.000
0.500 0.000 0.000
0.000 0.000 0.500
0.500 0.500 0.500
```

Properties
The energy relative to the elements comes out at 0.5435 eV per atom.


10.
Compound: Ca2TlHg2
Source: the Alexandria database
Functional: SCAN
Structure: single point on PBEsol structure

Structure (POSCAR):
```
Ca2TlHg2
1.0
8.580 0.000 0.000
0.000 8.580 0.000
0.000 0.000 3.709
Ca Tl Hg
4 2 4
Direct
0.154 0.346 0.000
0.346 0.846 0.000
0.654 0.154 0.000
0.846 0.654 0.000
0.000 0.000 0.000
0.500 0.500 0.000
0.140 0.640 0.500
0.360 0.140 0.500
0.640 0.860 0.500
0.860 0.360 0.500
```

Properties
The energy relative to the elements comes out at -0.4821 eV per atom.


11.
Compound: BaCa2Au
Source: the Alexandria database
Functional: SCAN
Structure: single point on PBEsol structure

Structure (POSCAR):
```
BaCa2Au
1.0
-1.901 2.969 6.218
1.901 -2.969 6.218
1.901 2.969 -6.218
Ba Ca Au
1 2 1
Direct
0.000 0.000 0.000
0.313 0.813 0.500
0.687 0.187 0.500
0.500 0.500 0.000
```

Properties
The energy relative to the elements comes out at -0.4749 eV per atom.


12.
Compound: Tl2PdC
Source: the Alexandria database
Functional: SCAN
Structure: single point on PBEsol structure

Structure (POSCAR):
```
Tl2PdC
1.0
0.000 3.274 3.274
3.274 0.000 3.274
3.274 3.274 0.000
Tl Pd C
2 1 1
Direct
0.250 0.250 0.250
0.750 0.750 0.750
0.000 0.000 0.000
0.500 0.500 0.500
```

Properties
The energy relative to the elements comes out at 1.3521 eV per atom.


13.
Compound: HgPt2Rh
Source: the Alexandria database
Functional: SCAN
Structure: single point on PBEsol structure

Structure (POSCAR):
```
HgPt2Rh
1.0
2.822 0.000 0.000
0.000 2.822 0.000
0.000 0.000 7.888
Hg Pt Rh
1 2 1
Direct
0.000 0.000 0.000
0.000 0.000 0.514
0.500 0.500 0.271
0.500 0.500 0.739
```

Properties
The energy relative to the elements comes out at 0.1074 eV per atom.


14.
Compound: MgZrSc2
Source: the Alexandria database
Functional: SCAN
Structure: single point on PBEsol structure

Structure (POSCAR):
```
MgZrSc2
1.0
1.597 0.922 10.388
-1.597 0.922 10.388
0.000 -1.844 10.388
Mg Zr Sc
1 1 2
Direct
0.000 0.000 0.000
0.500 0.500 0.500
0.247 0.247 0.247
0.753 0.753 0.753
```

Properties
The energy relative to the elements comes out at 0.0072 eV per atom.


15.
Compound: Ni2OsW
Source: the Alexandria database
Functional: SCAN
Structure: single point on PBEsol structure

Structure (POSCAR):
```
Ni2OsW
1.0
-1.853 1.853 3.682
1.853 -1.853 3.682
1.853 1.853 -3.682
Ni Os W
2 1 1
Direct
0.000 0.000 0.000
0.750 0.250 0.500
0.250 0.750 0.500
0.500 0.500 0.000
```

Properties
The energy relative to the elements comes out at -0.0219 eV per atom.


16.
Compound: La2CdCuBr
Source: the Alexandria database
Functional: SCAN
Structure: single point on PBEsol structure

Structure (POSCAR):
```
La2CdCuBr
1.0
5.540 0.000 0.000
0.000 5.540 0.000
0.000 0.000 4.773
La Cd Cu Br
2 1 1 1
Direct
0.000 0.500 0.000
0.500 0.000 0.000
0.000 0.000 0.500
0.500 0.500 0.000
0.500 0.500 0.500
```

Properties
Its formation energy (no corrections) is -0.045 eV/atom.


17.
Compound: Cr2HgW
Source: the Alexandria database
Functional: SCAN
Structure: single point on PBEsol structure

Structure (POSCAR):
```
Cr2HgW
1.0
2.725 -4.269 0.000
2.725 4.269 0.000
-0.871 0.000 2.500
Cr Hg W
2 1 1
Direct
0.000 0.500 0.000
0.500 0.000 0.000
0.000 0.000 0.500
0.500 0.500 0.500
```

Properties
The energy relative to the elements comes out at 0.7116 eV per atom.


18.
Compound: LaNiAg2
Source: the Alexandria database
Functional: SCAN
Structure: single point on PBEsol structure

Structure (POSCAR):
```
LaNiAg2
1.0
4.456 0.000 0.000
0.000 4.410 0.000
-1.527 0.000 4.236
La Ni Ag
1 1 2
Direct
0.000 0.000 0.000
0.500 0.000 0.500
0.320 0.500 0.683
0.680 0.500 0.317
```

Properties
The energy relative to the elements comes out at -0.0844 eV per atom.


19.
Compound: Mo2AsOs
Source: the Alexandria database
Functional: SCAN
Structure: single point on PBEsol structure

Structure (POSCAR):
```
Mo2AsOs
1.0
2.922 0.000 0.000
0.000 2.922 0.000
0.000 0.000 6.807
Mo As Os
2 1 1
Direct
0.000 0.000 0.239
0.000 0.000 0.761
0.500 0.500 0.000
0.500 0.500 0.500
```

Properties
The energy relative to the elements comes out at -0.0174 eV per atom.


20.
Compound: OsPb2AuO
Source: the Alexandria database
Functional: SCAN
Structure: single point on PBEsol structure

Structure (POSCAR):
```
OsPb2AuO
1.0
4.894 0.000 0.000
0.000 4.894 0.000
0.000 0.000 4.026
Os Pb Au O
1 2 1 1
Direct
0.000 0.000 0.000
0.000 0.500 0.500
0.500 0.000 0.500
0.500 0.500 0.000
0.500 0.500 0.500
```

Properties
Its formation energy (no corrections) is 0.750 eV/atom.


| no. | density (Mg/m³) | magnetic moment (Bohr magnetons per cell) |
| --- | --- | --- |
| 1 | 3.9 | 9.03 |
| 2 | 13.0 | 0.00 |
| 3 | 5.7 | 0.00 |
| 4 | 3.9 | 0.00 |
| 5 | 4.5 | 1.01 |
| 6 | 5.7 | 9.00 |
| 7 | 3.2 | 0.00 |
| 8 | 9.6 | 2.81 |
| 9 | 10.0 | 0.00 |
| 10 | 8.3 | 0.00 |
| 11 | 4.9 | 0.11 |
| 12 | 12.5 | 0.00 |
| 13 | 18.3 | 1.34 |
| 14 | 3.7 | 0.17 |
| 15 | 16.1 | 0.00 |
| 16 | 6.0 | 1.44 |
| 17 | 13.9 | 0.00 |
| 18 | 8.2 | 0.00 |
| 19 | 13.1 | 0.00 |
| 20 | 14.1 | 1.17 |